Material: Nd3Sm2Tm3
Method: DFT, PBE
State: optimized geometry

```
data_Nd3Sm2Tm3
_space_group_name_H-M_alt 'P 1'
_space_group_IT_number 1
_space_group_name_Hall 'P 1'
_cell_length_a 8.510
_cell_length_b 8.510
_cell_length_c 8.510
_cell_angle_alpha 138.96
_cell_angle_beta 138.82
_cell_angle_gamma 59.54
loop_
_atom_site_label
_atom_site_fract_x
_atom_site_fract_y
_atom_site_fract_z
Nd1 0.000 0.000 0.000
Nd2 0.373 0.873 0.500
Nd3 0.627 0.127 0.500
Sm1 0.254 0.254 0.000
Sm2 0.746 0.746 0.000
Tm1 0.123 0.623 0.500
Tm2 0.500 0.500 0.000
Tm3 0.877 0.377 0.500
```

V = 264 Å³/cell
Fermi-level density of states = 1.997 states/eV per atom
energy of formation = 0.122 eV per atom

Material: Nd2Sm6Tm3
Method: DFT, PBE
State: optimized geometry

```
data_Nd2Sm6Tm3
_space_group_name_H-M_alt 'P 1'
_space_group_IT_number 1
_space_group_name_Hall 'P 1'
_cell_length_a 17.200
_cell_length_b 17.200
_cell_length_c 17.200
_cell_angle_alpha 164.04
_cell_angle_beta 164.04
_cell_angle_gamma 22.64
loop_
_atom_site_label
_atom_site_fract_x
_atom_site_fract_y
_atom_site_fract_z
Nd1 0.046 0.046 0.000
Nd2 0.954 0.954 0.000
Sm1 0.122 0.622 0.500
Sm2 0.199 0.199 0.000
Sm3 0.378 0.878 0.500
Sm4 0.622 0.122 0.500
Sm5 0.801 0.801 0.000
Sm6 0.878 0.378 0.500
Tm1 0.301 0.301 0.000
Tm2 0.500 0.500 0.000
Tm3 0.699 0.699 0.000
```

V = 384 Å³/cell
Fermi-level density of states = 1.386 states/eV per atom
energy of formation = 0.284 eV per atom

Material: Nd4SmTm5
Method: DFT, PBE
State: optimized geometry

```
data_Nd4SmTm5
_space_group_name_H-M_alt 'P 1'
_space_group_IT_number 1
_space_group_name_Hall 'P 1'
_cell_length_a 3.599
_cell_length_b 3.599
_cell_length_c 24.975
_cell_angle_alpha 90.00
_cell_angle_beta 90.00
_cell_angle_gamma 90.00
loop_
_atom_site_label
_atom_site_fract_x
_atom_site_fract_y
_atom_site_fract_z
Nd1 0.000 0.000 0.100
Nd2 0.000 0.000 0.301
Nd3 0.000 0.000 0.699
Nd4 0.000 0.000 0.900
Sm1 0.000 0.000 0.500
Tm1 0.500 0.500 0.000
Tm2 0.500 0.500 0.201
Tm3 0.500 0.500 0.401
Tm4 0.500 0.500 0.599
Tm5 0.500 0.500 0.799
```

V = 323 Å³/cell
Fermi-level density of states = 1.411 states/eV per atom
energy of formation = 0.020 eV per atom

Material: Nd5Sm4Tm
Method: DFT, PBE
State: optimized geometry

```
data_Nd5Sm4Tm
_space_group_name_H-M_alt 'P 1'
_space_group_IT_number 1
_space_group_name_Hall 'P 1'
_cell_length_a 8.104
_cell_length_b 8.104
_cell_length_c 8.104
_cell_angle_alpha 98.44
_cell_angle_beta 98.44
_cell_angle_gamma 134.94
loop_
_atom_site_label
_atom_site_fract_x
_atom_site_fract_y
_atom_site_fract_z
Nd1 0.000 0.000 0.000
Nd2 0.535 0.535 0.623
Nd3 0.535 0.912 0.000
Nd4 0.912 0.535 0.000
Nd5 0.912 0.912 0.377
Sm1 0.254 0.579 0.324
Sm2 0.254 0.930 0.676
Sm3 0.579 0.254 0.324
Sm4 0.930 0.254 0.676
Tm1 0.466 0.466 0.000
```

V = 348 Å³/cell
Fermi-level density of states = 1.496 states/eV per atom
energy of formation = 0.236 eV per atom

Material: Nd5SmTm6
Method: DFT, PBE
State: optimized geometry

```
data_Nd5SmTm6
_space_group_name_H-M_alt 'P 1'
_space_group_IT_number 1
_space_group_name_Hall 'P 1'
_cell_length_a 9.471
_cell_length_b 9.471
_cell_length_c 9.471
_cell_angle_alpha 148.75
_cell_angle_beta 116.44
_cell_angle_gamma 72.53
loop_
_atom_site_label
_atom_site_fract_x
_atom_site_fract_y
_atom_site_fract_z
Nd1 0.000 0.000 0.000
Nd2 0.167 0.667 0.500
Nd3 0.334 0.334 0.000
Nd4 0.666 0.666 0.000
Nd5 0.833 0.333 0.500
Sm1 0.500 0.000 0.500
Tm1 0.084 0.833 0.250
Tm2 0.251 0.500 0.751
Tm3 0.417 0.167 0.250
Tm4 0.583 0.833 0.750
Tm5 0.749 0.500 0.249
Tm6 0.916 0.167 0.750
```

V = 389 Å³/cell
Fermi-level density of states = 1.334 states/eV per atom
energy of formation = 0.020 eV per atom

Material: NdSm8Tm4
Method: DFT, PBE
State: optimized geometry

```
data_NdSm8Tm4
_space_group_name_H-M_alt 'P 1'
_space_group_IT_number 1
_space_group_name_Hall 'P 1'
_cell_length_a 10.214
_cell_length_b 10.214
_cell_length_c 10.214
_cell_angle_alpha 41.91
_cell_angle_beta 41.91
_cell_angle_gamma 41.91
loop_
_atom_site_label
_atom_site_fract_x
_atom_site_fract_y
_atom_site_fract_z
Nd1 0.000 0.000 0.000
Sm1 0.251 0.251 0.701
Sm2 0.251 0.701 0.251
Sm3 0.283 0.283 0.283
Sm4 0.299 0.749 0.749
Sm5 0.701 0.251 0.251
Sm6 0.717 0.717 0.717
Sm7 0.749 0.299 0.749
Sm8 0.749 0.749 0.299
Tm1 0.000 0.000 0.500
Tm2 0.000 0.500 0.000
Tm3 0.500 0.000 0.000
Tm4 0.500 0.500 0.500
```

V = 430 Å³/cell
Fermi-level density of states = 1.094 states/eV per atom
energy of formation = 0.188 eV per atom

Material: Nd3SmTm2
Method: DFT, PBE
State: optimized geometry

```
data_Nd3SmTm2
_space_group_name_H-M_alt 'P 1'
_space_group_IT_number 1
_space_group_name_Hall 'P 1'
_cell_length_a 9.027
_cell_length_b 9.027
_cell_length_c 5.619
_cell_angle_alpha 90.00
_cell_angle_beta 90.00
_cell_angle_gamma 68.17
loop_
_atom_site_label
_atom_site_fract_x
_atom_site_fract_y
_atom_site_fract_z
Nd1 0.091 0.909 0.750
Nd2 0.108 0.370 0.250
Nd3 0.370 0.108 0.750
Nd4 0.630 0.892 0.250
Nd5 0.892 0.630 0.750
Nd6 0.909 0.091 0.250
Sm1 0.267 0.733 0.250
Sm2 0.733 0.267 0.750
Tm1 0.299 0.489 0.750
Tm2 0.489 0.299 0.250
Tm3 0.511 0.701 0.750
Tm4 0.701 0.511 0.250
```

V = 425 Å³/cell
Fermi-level density of states = 1.558 states/eV per atom
energy of formation = 0.280 eV per atom

Material: Nd2Sm3Tm2
Method: DFT, PBE
State: optimized geometry

```
data_Nd2Sm3Tm2
_space_group_name_H-M_alt 'P 1'
_space_group_IT_number 1
_space_group_name_Hall 'P 1'
_cell_length_a 9.018
_cell_length_b 9.018
_cell_length_c 8.604
_cell_angle_alpha 118.47
_cell_angle_beta 118.47
_cell_angle_gamma 22.57
loop_
_atom_site_label
_atom_site_fract_x
_atom_site_fract_y
_atom_site_fract_z
Nd1 0.066 0.066 0.218
Nd2 0.934 0.934 0.782
Sm1 0.288 0.288 0.372
Sm2 0.500 0.500 0.500
Sm3 0.712 0.712 0.628
Tm1 0.351 0.351 0.035
Tm2 0.649 0.649 0.965
```

V = 235 Å³/cell
Fermi-level density of states = 1.578 states/eV per atom
energy of formation = 0.120 eV per atom

Material: Nd4Sm3Tm4
Method: DFT, PBE
State: optimized geometry

```
data_Nd4Sm3Tm4
_space_group_name_H-M_alt 'P 1'
_space_group_IT_number 1
_space_group_name_Hall 'P 1'
_cell_length_a 3.608
_cell_length_b 5.064
_cell_length_c 20.020
_cell_angle_alpha 97.26
_cell_angle_beta 95.16
_cell_angle_gamma 90.00
loop_
_atom_site_label
_atom_site_fract_x
_atom_site_fract_y
_atom_site_fract_z
Nd1 0.046 0.047 0.092
Nd2 0.318 0.317 0.634
Nd3 0.682 0.683 0.366
Nd4 0.954 0.953 0.908
Sm1 0.136 0.137 0.273
Sm2 0.500 0.500 0.000
Sm3 0.864 0.863 0.727
Tm1 0.228 0.228 0.456
Tm2 0.407 0.407 0.816
Tm3 0.593 0.593 0.184
Tm4 0.772 0.772 0.544
```

V = 361 Å³/cell
Fermi-level density of states = 1.300 states/eV per atom
energy of formation = 0.017 eV per atom

Material: NdSmTm4
Method: DFT, PBE
State: optimized geometry

```
data_NdSmTm4
_space_group_name_H-M_alt 'P 1'
_space_group_IT_number 1
_space_group_name_Hall 'P 1'
_cell_length_a 6.619
_cell_length_b 6.619
_cell_length_c 6.619
_cell_angle_alpha 60.00
_cell_angle_beta 60.00
_cell_angle_gamma 60.00
loop_
_atom_site_label
_atom_site_fract_x
_atom_site_fract_y
_atom_site_fract_z
Nd1 0.000 0.000 0.000
Sm1 0.750 0.750 0.750
Tm1 0.375 0.375 0.375
Tm2 0.375 0.375 0.875
Tm3 0.375 0.875 0.375
Tm4 0.875 0.375 0.375
```

V = 205 Å³/cell
Fermi-level density of states = 2.521 states/eV per atom
energy of formation = 0.287 eV per atom

Material: Nd5Sm4Tm2
Method: DFT, PBE
State: optimized geometry

```
data_Nd5Sm4Tm2
_space_group_name_H-M_alt 'P 1'
_space_group_IT_number 1
_space_group_name_Hall 'P 1'
_cell_length_a 12.252
_cell_length_b 12.252
_cell_length_c 8.890
_cell_angle_alpha 97.00
_cell_angle_beta 97.00
_cell_angle_gamma 16.45
loop_
_atom_site_label
_atom_site_fract_x
_atom_site_fract_y
_atom_site_fract_z
Nd1 0.000 0.000 0.000
Nd2 0.270 0.270 0.179
Nd3 0.360 0.360 0.885
Nd4 0.640 0.640 0.115
Nd5 0.730 0.730 0.821
Sm1 0.176 0.176 0.471
Sm2 0.455 0.455 0.639
Sm3 0.545 0.545 0.361
Sm4 0.824 0.824 0.529
Tm1 0.409 0.409 0.268
Tm2 0.591 0.591 0.732
```

V = 375 Å³/cell
Fermi-level density of states = 1.567 states/eV per atom
energy of formation = 0.142 eV per atom

Material: Nd6SmTm2
Method: DFT, PBE
State: optimized geometry

```
data_Nd6SmTm2
_space_group_name_H-M_alt 'P 1'
_space_group_IT_number 1
_space_group_name_Hall 'P 1'
_cell_length_a 12.118
_cell_length_b 12.118
_cell_length_c 5.810
_cell_angle_alpha 103.86
_cell_angle_beta 103.86
_cell_angle_gamma 47.52
loop_
_atom_site_label
_atom_site_fract_x
_atom_site_fract_y
_atom_site_fract_z
Nd1 0.006 0.165 0.338
Nd2 0.081 0.579 0.080
Nd3 0.165 0.006 0.838
Nd4 0.332 0.496 0.666
Nd5 0.421 0.919 0.420
Nd6 0.496 0.332 0.166
Nd7 0.504 0.668 0.834
Nd8 0.579 0.081 0.580
Nd9 0.668 0.504 0.334
Nd10 0.835 0.994 0.162
Nd11 0.919 0.421 0.920
Nd12 0.994 0.835 0.662
Sm1 0.251 0.749 0.250
Sm2 0.749 0.251 0.750
Tm1 0.168 0.332 0.499
Tm2 0.332 0.168 0.999
Tm3 0.668 0.832 0.001
Tm4 0.832 0.668 0.501
```

V = 607 Å³/cell
Fermi-level density of states = 1.392 states/eV per atom
energy of formation = -0.009 eV per atom

Material: Nd5Sm2Tm5
Method: DFT, PBE
State: optimized geometry

```
data_Nd5Sm2Tm5
_space_group_name_H-M_alt 'P 1'
_space_group_IT_number 1
_space_group_name_Hall 'P 1'
_cell_length_a 8.028
_cell_length_b 8.028
_cell_length_c 11.400
_cell_angle_alpha 115.19
_cell_angle_beta 115.19
_cell_angle_gamma 36.75
loop_
_atom_site_label
_atom_site_fract_x
_atom_site_fract_y
_atom_site_fract_z
Nd1 0.000 0.000 0.000
Nd2 0.165 0.165 0.498
Nd3 0.249 0.249 0.247
Nd4 0.751 0.751 0.753
Nd5 0.835 0.835 0.502
Sm1 0.083 0.083 0.752
Sm2 0.917 0.917 0.248
Tm1 0.333 0.333 0.999
Tm2 0.418 0.418 0.751
Tm3 0.500 0.500 0.500
Tm4 0.582 0.582 0.249
Tm5 0.667 0.667 0.001
```

V = 393 Å³/cell
Fermi-level density of states = 1.439 states/eV per atom
energy of formation = 0.020 eV per atom

Material: NdSm3Tm2
Method: DFT, PBE
State: optimized geometry

```
data_NdSm3Tm2
_space_group_name_H-M_alt 'P 1'
_space_group_IT_number 1
_space_group_name_Hall 'P 1'
_cell_length_a 9.502
_cell_length_b 9.502
_cell_length_c 6.213
_cell_angle_alpha 90.16
_cell_angle_beta 90.16
_cell_angle_gamma 44.35
loop_
_atom_site_label
_atom_site_fract_x
_atom_site_fract_y
_atom_site_fract_z
Nd1 0.126 0.874 0.750
Nd2 0.874 0.126 0.250
Sm1 0.042 0.294 0.916
Sm2 0.294 0.042 0.416
Sm3 0.376 0.624 0.250
Sm4 0.624 0.376 0.750
Sm5 0.706 0.958 0.584
Sm6 0.958 0.706 0.084
Tm1 0.208 0.456 0.582
Tm2 0.456 0.208 0.082
Tm3 0.544 0.792 0.918
Tm4 0.792 0.544 0.418
```

V = 392 Å³/cell
Fermi-level density of states = 1.385 states/eV per atom
energy of formation = 0.020 eV per atom

Material: NdSm12Tm6
Method: DFT, PBE
State: optimized geometry

```
data_NdSm12Tm6
_space_group_name_H-M_alt 'P 1'
_space_group_IT_number 1
_space_group_name_Hall 'P 1'
_cell_length_a 8.762
_cell_length_b 8.762
_cell_length_c 8.762
_cell_angle_alpha 98.89
_cell_angle_beta 98.89
_cell_angle_gamma 98.89
loop_
_atom_site_label
_atom_site_fract_x
_atom_site_fract_y
_atom_site_fract_z
Nd1 0.000 0.000 0.000
Sm1 0.082 0.355 0.355
Sm2 0.242 0.500 0.758
Sm3 0.242 0.758 0.500
Sm4 0.355 0.082 0.355
Sm5 0.355 0.355 0.082
Sm6 0.500 0.242 0.758
Sm7 0.500 0.758 0.242
Sm8 0.645 0.645 0.918
Sm9 0.645 0.918 0.645
Sm10 0.758 0.242 0.500
Sm11 0.758 0.500 0.242
Sm12 0.918 0.645 0.645
Tm1 0.101 0.101 0.662
Tm2 0.101 0.662 0.101
Tm3 0.338 0.899 0.899
Tm4 0.662 0.101 0.101
Tm5 0.899 0.338 0.899
Tm6 0.899 0.899 0.338
```

V = 646 Å³/cell
Fermi-level density of states = 1.925 states/eV per atom
energy of formation = 0.198 eV per atom

Material: NdSm6Tm2
Method: DFT, PBE
State: optimized geometry

```
data_NdSm6Tm2
_space_group_name_H-M_alt 'P 1'
_space_group_IT_number 1
_space_group_name_Hall 'P 1'
_cell_length_a 7.548
_cell_length_b 7.548
_cell_length_c 6.113
_cell_angle_alpha 90.01
_cell_angle_beta 90.01
_cell_angle_gamma 59.98
loop_
_atom_site_label
_atom_site_fract_x
_atom_site_fract_y
_atom_site_fract_z
Nd1 0.000 0.000 0.000
Sm1 0.188 0.188 0.712
Sm2 0.188 0.622 0.711
Sm3 0.378 0.812 0.289
Sm4 0.622 0.188 0.711
Sm5 0.812 0.378 0.289
Sm6 0.812 0.812 0.288
Tm1 0.333 0.333 0.218
Tm2 0.667 0.667 0.782
```

V = 302 Å³/cell
Fermi-level density of states = 1.528 states/eV per atom
energy of formation = 0.196 eV per atom

Material: Nd5Sm12Tm
Method: DFT, PBE
State: optimized geometry

```
data_Nd5Sm12Tm
_space_group_name_H-M_alt 'P 1'
_space_group_IT_number 1
_space_group_name_Hall 'P 1'
_cell_length_a 10.904
_cell_length_b 10.904
_cell_length_c 6.290
_cell_angle_alpha 106.61
_cell_angle_beta 106.61
_cell_angle_gamma 60.05
loop_
_atom_site_label
_atom_site_fract_x
_atom_site_fract_y
_atom_site_fract_z
Nd1 0.000 0.000 0.000
Nd2 0.167 0.167 0.501
Nd3 0.334 0.334 0.003
Nd4 0.666 0.666 0.997
Nd5 0.833 0.833 0.499
Sm1 0.000 0.334 0.001
Sm2 0.000 0.666 0.999
Sm3 0.168 0.501 0.501
Sm4 0.168 0.832 0.500
Sm5 0.334 0.000 0.001
Sm6 0.335 0.665 0.000
Sm7 0.499 0.832 0.499
Sm8 0.501 0.168 0.501
Sm9 0.665 0.335 0.000
Sm10 0.666 0.000 0.999
Sm11 0.832 0.168 0.500
Sm12 0.832 0.499 0.499
Tm1 0.500 0.500 0.500
```

V = 612 Å³/cell
Fermi-level density of states = 1.328 states/eV per atom
energy of formation = 0.016 eV per atom

Material: Nd8Sm3Tm3
Method: DFT, PBE
State: optimized geometry

```
data_Nd8Sm3Tm3
_space_group_name_H-M_alt 'P 1'
_space_group_IT_number 1
_space_group_name_Hall 'P 1'
_cell_length_a 9.817
_cell_length_b 9.817
_cell_length_c 9.817
_cell_angle_alpha 146.10
_cell_angle_beta 112.36
_cell_angle_gamma 77.85
loop_
_atom_site_label
_atom_site_fract_x
_atom_site_fract_y
_atom_site_fract_z
Nd1 0.060 0.397 0.663
Nd2 0.064 0.223 0.841
Nd3 0.266 0.603 0.663
Nd4 0.381 0.223 0.159
Nd5 0.619 0.777 0.841
Nd6 0.734 0.397 0.337
Nd7 0.936 0.777 0.159
Nd8 0.940 0.603 0.337
Sm1 0.321 0.821 0.500
Sm2 0.500 0.500 0.000
Sm3 0.679 0.179 0.500
Tm1 0.000 0.000 0.000
Tm2 0.300 0.000 0.300
Tm3 0.700 0.000 0.700
```

V = 478 Å³/cell
Fermi-level density of states = 1.409 states/eV per atom
energy of formation = 0.102 eV per atom

Material: Nd4SmTm
Method: DFT, PBE
State: optimized geometry

```
data_Nd4SmTm
_space_group_name_H-M_alt 'P 1'
_space_group_IT_number 1
_space_group_name_Hall 'P 1'
_cell_length_a 8.141
_cell_length_b 8.141
_cell_length_c 5.149
_cell_angle_alpha 90.00
_cell_angle_beta 90.00
_cell_angle_gamma 143.06
loop_
_atom_site_label
_atom_site_fract_x
_atom_site_fract_y
_atom_site_fract_z
Nd1 0.165 0.835 0.000
Nd2 0.335 0.665 0.500
Nd3 0.665 0.335 0.500
Nd4 0.835 0.165 0.000
Sm1 0.000 0.000 0.500
Tm1 0.500 0.500 0.000
```

V = 205 Å³/cell
Fermi-level density of states = 1.471 states/eV per atom
energy of formation = 0.018 eV per atom

Material: Nd5Sm5Tm2
Method: DFT, PBE
State: optimized geometry

```
data_Nd5Sm5Tm2
_space_group_name_H-M_alt 'P 1'
_space_group_IT_number 1
_space_group_name_Hall 'P 1'
_cell_length_a 8.118
_cell_length_b 8.118
_cell_length_c 11.470
_cell_angle_alpha 115.12
_cell_angle_beta 115.12
_cell_angle_gamma 36.81
loop_
_atom_site_label
_atom_site_fract_x
_atom_site_fract_y
_atom_site_fract_z
Nd1 0.000 0.000 0.000
Nd2 0.165 0.165 0.499
Nd3 0.252 0.252 0.251
Nd4 0.748 0.748 0.749
Nd5 0.835 0.835 0.501
Sm1 0.333 0.333 0.000
Sm2 0.418 0.418 0.751
Sm3 0.500 0.500 0.500
Sm4 0.582 0.582 0.249
Sm5 0.667 0.667 0.000
Tm1 0.084 0.084 0.752
Tm2 0.916 0.916 0.248
```

V = 405 Å³/cell
Fermi-level density of states = 1.488 states/eV per atom
energy of formation = 0.017 eV per atom